Compound: Co2ReHg
Source: the Alexandria database
Functional: PBE
Structure: optimized geometry

Computed properties:
The density of states at the Fermi level comes out at 5.742 states/eV/cell. For the uncorrected energy, the calculation gives -6.156 eV/atom. The space-group type is P4/mmm (123).

```
Co2ReHg
1.0
4.500 0.000 0.000
0.000 4.500 0.000
0.000 0.000 2.790
Co Re Hg
2 1 1
Cartesian
0.000 2.250 0.000 Co
2.250 0.000 0.000 Co
0.000 0.000 1.395 Re
2.250 2.250 1.395 Hg
```